K2Cr | PBEsol | relaxed

Calculated values
Space-group type: No. 12
Total DFT energy (no corrections) (eV per formula unit): -9.620

Structure (POSCAR):
```
K2Cr
1.0
8.7258 -2.0181 0.0000
8.7258 2.0181 0.0000
-2.1582 0.0000 7.8733
K Cr
4 2
direct
0.1139 0.1139 0.0626
0.1535 0.1535 0.5954
0.8465 0.8465 0.4046
0.8861 0.8861 0.9374
0.4972 0.4972 0.6803
0.5028 0.5028 0.3197
```